Compound: Pm2CoC2N6
Source: Alexandria via LeMat-Bulk
Functional: GGA-PBE
Structure: relaxed

Properties
Raw total energy, eV/atom: -8.08
M_tot, μB/cell: 1.20
E_form (uncorrected), meV per atom: -353
Theoretical density, g cm⁻³: 6.670
Space-group type: R-3m (166)

Cell lengths 5.8778, 5.8778, 5.8778 Å; angles 51.19, 51.19, 51.19 degrees
Fractional positions:
Pm: 0.2199 0.2199 0.2199
Pm: 0.7801 0.7801 0.7801
Co: 0.0000 0.0000 0.0000
C: 0.4087 0.4087 0.4087
C: 0.5913 0.5913 0.5913
N: 0.2594 0.2594 0.7250
N: 0.2594 0.7250 0.2594
N: 0.2750 0.7406 0.7406
N: 0.7250 0.2594 0.2594
N: 0.7406 0.2750 0.7406
N: 0.7406 0.7406 0.2750